A relaxed structure of CsU2Se6S2. Source: Alexandria, functional PBE-GGA.

POSCAR file:
```
CsU2Se6S2
1.0
7.046 0.000 0.000
2.247 7.116 0.000
3.020 1.465 8.754
Cs U Se S
1 2 6 2
direct
0.000 0.000 0.000
0.075 0.259 0.402
0.925 0.741 0.598
0.169 0.399 0.092
0.194 0.938 0.597
0.253 0.450 0.512
0.747 0.550 0.488
0.806 0.062 0.403
0.831 0.601 0.908
0.374 0.131 0.180
0.626 0.869 0.820
```

Output
As for the symmetry: P-1. As for the density of states at the Fermi level: 8.54 states/eV per cell. The calculation puts the final energy at -5.584 eV/atom. The formation energy (no corrections) is -0.802 eV/atom.